[1]
A plane-wave DFT calculation with PBE-GGA was carried out for a geometry-optimized Li3ZnPCO7 structure.

a = 5.0825 Å, b = 6.5229 Å, c = 8.4491 Å
α = 90.00°, β = 91.73°, γ = 90.00°
Space group P2_1 (No. 4)
Symmetry-distinct sites (fractional):
Li (0.0493, 0.0000, 0.0028) [2 per cell]
Li (0.4181, 0.3098, 0.8107) [2 per cell]
Li (0.4445, 0.1297, 0.4696) [2 per cell]
Zn (0.0474, 0.7771, 0.7150) [2 per cell]
P (0.0402, 0.7744, 0.3369) [2 per cell]
C (0.4595, 0.2895, 0.1246) [2 per cell]
O (0.0477, 0.0868, 0.7651) [2 per cell]
O (0.0723, 0.4599, 0.7610) [2 per cell]
O (0.1026, 0.2600, 0.5025) [2 per cell]
O (0.2069, 0.2717, 0.0927) [2 per cell]
O (0.3409, 0.7945, 0.3681) [2 per cell]
O (0.3830, 0.8254, 0.9885) [2 per cell]
O (0.4534, 0.7682, 0.7300) [2 per cell]

Results
ΔE to the lowest computed polymorph: 0.000 eV per atom
raw total energy: -6.3270 eV per atom
V: 10.768 Å³ per atom

---

[2]
A plane-wave DFT calculation with PBE-GGA was carried out for a geometry-optimized Li3ZnPCO7 structure.

a = 4.9952 Å, b = 6.3955 Å, c = 8.5442 Å
α = 90.00°, β = 95.20°, γ = 90.00°
Space group P2_1/m (No. 11)
Symmetry-distinct sites (fractional):
Li (0.2125, 0.2500, 0.1077) [2 per cell]
Li (0.2644, 0.5095, 0.7380) [4 per cell]
Zn (0.2244, 0.7500, 0.3509) [2 per cell]
P (0.2644, 0.2500, 0.4118) [2 per cell]
C (0.3080, 0.7500, 0.0425) [2 per cell]
O (0.0570, 0.7500, 0.0635) [2 per cell]
O (0.1566, 0.0614, 0.3093) [4 per cell]
O (0.1709, 0.2500, 0.5787) [2 per cell]
O (0.3921, 0.7500, 0.9024) [2 per cell]
O (0.4206, 0.7500, 0.5735) [2 per cell]
O (0.4853, 0.7500, 0.1664) [2 per cell]

Results
ΔE to the lowest computed polymorph: 0.010 eV per atom
raw total energy: -6.3173 eV per atom
V: 10.455 Å³ per atom

---

[3]
A plane-wave DFT calculation with PBE-GGA was carried out for a geometry-optimized LiPaCO5 structure.

a = 7.5252 Å, b = 7.9680 Å, c = 7.8550 Å
α = 90.00°, β = 117.97°, γ = 90.00°
Space group C2/c (No. 15)
Symmetry-distinct sites (fractional):
Li (0.0000, 0.0964, 0.2500) [4 per cell]
Pa (0.2500, 0.2500, 0.0000) [4 per cell]
C (0.0000, 0.4010, 0.2500) [4 per cell]
O (0.0000, 0.1421, 0.7500) [4 per cell]
O (0.0623, 0.2947, 0.1446) [8 per cell]
O (0.1606, 0.4979, 0.8750) [8 per cell]

Results
raw total energy: -8.0264 eV per atom
V: 12.999 Å³ per atom

---

[4]
A plane-wave DFT calculation with PBE-GGA was carried out for a geometry-optimized Li3PaC4O12 structure.

a = 9.5571 Å, b = 9.5571 Å, c = 8.0426 Å
α = 90.00°, β = 90.00°, γ = 120.00°
Space group R32 (No. 155, hexagonal axes)
Symmetry-distinct sites (fractional):
Li (0.0000, 0.5467, 0.0000) [9 per cell]
Pa (0.0000, 0.0000, 0.0000) [3 per cell]
C (0.0000, 0.0000, 0.5000) [3 per cell]
C (0.0000, 0.4640, 0.5000) [9 per cell]
O (0.0000, 0.5955, 0.5000) [9 per cell]
O (0.0000, 0.8650, 0.5000) [9 per cell]
O (0.0069, 0.2023, 0.1646) [18 per cell]

Results
raw total energy: -7.3922 eV per atom
V: 10.603 Å³ per atom

---

[5]
A plane-wave DFT calculation with PBE-GGA was carried out for a geometry-optimized LiPbC2O6 structure.

a = 5.0019 Å, b = 5.0019 Å, c = 16.3098 Å
α = 90.00°, β = 90.00°, γ = 120.00°
Space group R-3 (No. 148, hexagonal axes)
Symmetry-distinct sites (fractional):
Li (0.0000, 0.0000, 0.0000) [3 per cell]
Pb (0.0000, 0.0000, 0.5000) [3 per cell]
C (0.0000, 0.0000, 0.2539) [6 per cell]
O (0.0421, 0.7645, 0.7465) [18 per cell]

Results
raw total energy: -6.7927 eV per atom
V: 11.780 Å³ per atom

---

[6]
A plane-wave DFT calculation with PBE-GGA was carried out for a geometry-optimized Li3PmC4O12 structure.

a = 9.6329 Å, b = 9.6329 Å, c = 8.1791 Å
α = 90.00°, β = 90.00°, γ = 120.00°
Space group R32 (No. 155, hexagonal axes)
Symmetry-distinct sites (fractional):
Li (0.0000, 0.5501, 0.0000) [9 per cell]
Pm (0.0000, 0.0000, 0.0000) [3 per cell]
C (0.0000, 0.0000, 0.5000) [3 per cell]
C (0.0000, 0.4524, 0.5000) [9 per cell]
O (0.0000, 0.5856, 0.5000) [9 per cell]
O (0.0000, 0.8671, 0.5000) [9 per cell]
O (0.0139, 0.2113, 0.1714) [18 per cell]

Results
raw total energy: -7.0798 eV per atom
V: 10.955 Å³ per atom

---

[7]
A plane-wave DFT calculation with PBE-GGA was carried out for a geometry-optimized Li2PmC2O6 structure.

a = 5.0087 Å, b = 5.0087 Å, c = 6.2146 Å
α = 90.00°, β = 90.00°, γ = 120.00°
Space group P-3 (No. 147)
Symmetry-distinct sites (fractional):
Li (0.3333, 0.6667, 0.3346) [2 per cell]
Pm (0.0000, 0.0000, 0.0000) [1 per cell]
C (0.3333, 0.6667, 0.7824) [2 per cell]
O (0.0647, 0.6568, 0.7636) [6 per cell]

Results
raw total energy: -7.0001 eV per atom
V: 12.274 Å³ per atom

---

[8]
A plane-wave DFT calculation with PBE-GGA was carried out for a geometry-optimized LiRhCO5 structure.

a = 6.2135 Å, b = 7.8829 Å, c = 6.9333 Å
α = 90.00°, β = 115.96°, γ = 90.00°
Space group C2/c (No. 15)
Symmetry-distinct sites (fractional):
Li (0.0000, 0.1535, 0.2500) [4 per cell]
Rh (0.0000, 0.5000, 0.0000) [4 per cell]
C (0.0000, 0.1855, 0.7500) [4 per cell]
O (0.0000, 0.3994, 0.2500) [4 per cell]
O (0.1224, 0.2797, 0.6621) [8 per cell]
O (0.1570, 0.0712, 0.9081) [8 per cell]

Results
raw total energy: -6.4172 eV per atom
V: 9.541 Å³ per atom

---

| no. | Fermi-level density of states (states/eV/atom) | raw formation energy (eV/atom) |
| --- | --- | --- |
| 1 | 0.0000 | -1.9919 |
| 2 | 0.0000 | -1.9821 |
| 3 | 0.0000 | -2.3484 |
| 4 | 0.3443 | -1.8107 |
| 5 | 0.4135 | -1.4108 |
| 6 | 0.4629 | -1.7355 |
| 7 | 0.1698 | -1.8387 |
| 8 | 0.5459 | -1.0072 |